Entry 1:
DFT (PBE) results for a relaxed BaMoAs2 crystal.

The structure in POSCAR format:
```
BaMoAs2
1.0
0.3600 1.8659 4.6101
-3.8856 2.3648 2.0430
-2.5158 -2.1158 3.7495
As Ba Mo
2 1 1
direct
0.0000 0.0000 0.0000
0.2500 0.2500 0.2500
0.7500 0.7500 0.7500
0.5000 0.5000 0.5000
```

Output
Volume = 88 Å³ per cell
Final energy = -4.84 eV/atom

***

Entry 2:
DFT (PBE) results for a relaxed BaMoAs2 crystal.

The structure in POSCAR format:
```
BaMoAs2
1.0
6.1199 3.2863 5.9379
-7.8210 0.9649 -4.6273
-2.4393 -2.1115 3.6826
As Ba Mo
4 2 2
direct
0.5584 0.4416 0.2500
0.2516 0.7484 0.2500
0.7484 0.2516 0.7500
0.4416 0.5584 0.7500
0.9016 0.0984 0.2500
0.0984 0.9016 0.7500
0.6937 0.3063 0.2500
0.3063 0.6937 0.7500
```

Output
Volume = 206 Å³ per cell
Final energy = -5.96 eV/atom

***

Entry 3:
DFT (PBE) results for a relaxed Ba2MoAsS6 crystal.

The structure in POSCAR format:
```
Ba2MoAsS6
1.0
6.2488 1.0296 -2.8179
-0.5664 -1.3563 6.7740
-1.2765 -4.9794 -4.6502
As Ba Mo S
1 2 1 6
direct
0.0000 0.0000 0.0000
0.7500 0.5000 0.2500
0.2500 0.5000 0.7500
0.5000 0.0000 0.5000
0.2539 0.0000 0.2539
0.2539 0.5078 0.2539
0.7461 0.0000 0.2539
0.7461 0.4922 0.7461
0.2539 0.0000 0.7461
0.7461 0.0000 0.7461
```

Output
Volume = 236 Å³ per cell
Final energy = -5.30 eV/atom

***

Q: Which of these has the lowest volume?
A: number 1

***

Q: What is the formula in the first record?
A: BaMoAs2

***

Repeat the first record exactly.
DFT (PBE) results for a relaxed BaMoAs2 crystal.

The structure in POSCAR format:
```
BaMoAs2
1.0
0.3600 1.8659 4.6101
-3.8856 2.3648 2.0430
-2.5158 -2.1158 3.7495
As Ba Mo
2 1 1
direct
0.0000 0.0000 0.0000
0.2500 0.2500 0.2500
0.7500 0.7500 0.7500
0.5000 0.5000 0.5000
```

Output
Volume = 88 Å³ per cell
Final energy = -4.84 eV/atom